No. 1
Density functional theory data (SCAN) for a PBEsol-optimized structure of NaCoSiPd2.

The formation energy (no corrections) comes out at 0.93 eV/atom. As for the crystal system: tetragonal.

a b c (Å): 4.5113 4.5113 4.5895
angles (deg): 90.00 90.00 90.00
Space group P4/mmm (No. 123)
Asymmetric unit:
Na: 0.0000 0.0000 0.0000 [1 per cell]
Co: 0.0000 0.0000 0.5000 [1 per cell]
Si: 0.5000 0.5000 0.0000 [1 per cell]
Pd: 0.0000 0.5000 0.5000 [2 per cell]

No. 2
Density functional theory data (SCAN) for a PBEsol-optimized structure of Tc2TeSe.

The excess energy over the best structure of this formula in the dataset is 256 meV per atom. The formation energy (no corrections) comes out at 0.31 eV/atom. As for the crystal system: tetragonal.

a b c (Å): 3.1670 3.1670 6.3227
angles (deg): 90.00 90.00 90.00
Space group P4/mmm (No. 123)
Asymmetric unit:
Tc: 0.0000 0.0000 0.2363 [2 per cell]
Te: 0.5000 0.5000 0.5000 [1 per cell]
Se: 0.5000 0.5000 0.0000 [1 per cell]

No. 3
Density functional theory data (SCAN) for a PBEsol-optimized structure of AlTlSn2Hg.

As for the crystal system: tetragonal. Its energy relative to the elements is 3.67 eV/f.u.

a b c (Å): 5.4707 5.4707 5.5419
angles (deg): 90.00 90.00 90.00
Space group P4/mmm (No. 123)
Asymmetric unit:
Al: 0.0000 0.0000 0.0000 [1 per cell]
Tl: 0.5000 0.5000 0.0000 [1 per cell]
Sn: 0.0000 0.5000 0.5000 [2 per cell]
Hg: 0.5000 0.5000 0.5000 [1 per cell]

No. 4
Density functional theory data (SCAN) for a PBEsol-optimized structure of LaZn2Te.

The formation energy (no corrections) comes out at -0.36 eV/atom. As for the crystal system: trigonal.

a b c (Å): 4.6926 4.6926 14.9010
angles (deg): 90.00 90.00 120.00
Space group R-3m (No. 166, hexagonal axes)
Asymmetric unit:
La: 0.0000 0.0000 0.0000 [3 per cell]
Zn: 0.0000 0.0000 0.2335 [6 per cell]
Te: 0.0000 0.0000 0.5000 [3 per cell]

No. 5
Density functional theory data (SCAN) for a PBEsol-optimized structure of CdCu2Au.

As for the crystal system: orthorhombic. Its energy relative to the elements is -0.10 eV/f.u.

a b c (Å): 2.8804 3.5687 5.7501
angles (deg): 90.00 90.00 90.00
Space group Pmmm (No. 47)
Asymmetric unit:
Cd: 0.0000 0.0000 0.0000 [1 per cell]
Cu: 0.5000 0.5000 0.2610 [2 per cell]
Au: 0.0000 0.0000 0.5000 [1 per cell]

No. 6
Density functional theory data (SCAN) for a PBEsol-optimized structure of Li2Mn2Si2O9.

The formation energy (no corrections) comes out at -2.53 eV/atom. As for the crystal system: orthorhombic.

a b c (Å): 8.3224 4.9382 13.5556
angles (deg): 90.00 90.00 90.00
Space group Pbcn (No. 60)
Asymmetric unit:
Li: 0.0343 0.1509 0.1591 [8 per cell]
Mn: 0.1568 0.3483 0.8280 [8 per cell]
Si: 0.1571 0.3134 0.5343 [8 per cell]
O: 0.0000 0.4982 0.2500 [4 per cell]
O: 0.0045 0.1969 0.9170 [8 per cell]
O: 0.1638 0.3178 0.4123 [8 per cell]
O: 0.1755 0.0279 0.7643 [8 per cell]
O: 0.1934 0.3775 0.0727 [8 per cell]

No. 7
Density functional theory data (SCAN) for a PBEsol-optimized structure of AlTe2Rh.

The formation energy (no corrections) comes out at -0.29 eV/atom. As for the crystal system: trigonal.

a b c (Å): 3.9867 3.9867 19.3443
angles (deg): 90.00 90.00 120.00
Space group R3m (No. 160, hexagonal axes)
Asymmetric unit:
Al: 0.0000 0.0000 0.0000 [3 per cell]
Te: 0.0000 0.0000 0.5436 [3 per cell]
Te: 0.0000 0.0000 0.7459 [3 per cell]
Rh: 0.0000 0.0000 0.2742 [3 per cell]

No. 8
Density functional theory data (SCAN) for a PBEsol-optimized structure of CdMo2Se.

The excess energy over the best structure of this formula in the dataset is 610 meV per atom. The formation energy (no corrections) comes out at 0.79 eV/atom. As for the crystal system: tetragonal.

a b c (Å): 3.8660 3.8660 4.5770
angles (deg): 90.00 90.00 90.00
Space group P4/mmm (No. 123)
Asymmetric unit:
Cd: 0.0000 0.0000 0.0000 [1 per cell]
Mo: 0.0000 0.5000 0.5000 [2 per cell]
Se: 0.5000 0.5000 0.0000 [1 per cell]

Values for volume, Å³/cell, ordered as above
93 63 166 284 59 557 266 68